VASP calculation (PBE) on an optimized crystal structure of Si2BRh5.

Output
Uncorrected energy in hartree per atom: -0.2713

Cell: 5.947 9.319 3.709 Å, 90.00 90.00 90.00°
Space group Pbam (No. 55)
One atom of each set of equivalent atoms:
Si  0.070  0.166  0.000 [4 per cell]
B  0.000  0.500  0.500 [2 per cell]
Rh  0.000  0.000  0.500 [2 per cell]
Rh  0.144  0.700  0.500 [4 per cell]
Rh  0.177  0.412  0.000 [4 per cell]

VASP calculation (PBE) on an optimized crystal structure of SiBRh2.

Output
E above lowest polymorph in meV/atom: 0.0
Uncorrected energy in hartree per atom: -0.2517

Cell: 5.720 5.720 5.720 Å, 90.00 90.00 90.00°
Space group Fm-3m (No. 225)
One atom of each set of equivalent atoms:
Si  0.000  0.000  0.000 [4 per cell]
B  0.000  0.000  0.500 [4 per cell]
Rh  0.250  0.250  0.250 [8 per cell]

VASP calculation (PBE) on an optimized crystal structure of TbSiBRh6.

Output
Uncorrected energy in hartree per atom: -0.2582

Cell: 5.897 8.605 11.049 Å, 90.00 90.00 90.00°
Space group Imma (No. 74)
One atom of each set of equivalent atoms:
Tb  0.000  0.250  0.196 [4 per cell]
Si  0.250  0.250  0.750 [4 per cell]
B  0.000  0.000  0.500 [4 per cell]
Rh  0.000  0.250  0.464 [4 per cell]
Rh  0.000  0.250  0.929 [4 per cell]
Rh  0.246  0.016  0.627 [16 per cell]

VASP calculation (PBE) on an optimized crystal structure of Th3SiB2Rh9.

Output
Uncorrected energy in hartree per atom: -0.2936

Cell: 5.9613 5.9613 8.1091 Å, 90.00 90.00 120.00°
Space group P-3m1 (No. 164)
One atom of each set of equivalent atoms:
Th  0.0000  0.0000  0.0000 [1 per cell]
Th  0.3333  0.6667  0.6575 [2 per cell]
Si  0.0000  0.0000  0.5000 [1 per cell]
B  0.3333  0.6667  0.1509 [2 per cell]
Rh  0.0000  0.5000  0.0000 [3 per cell]
Rh  0.1685  0.3369  0.3026 [6 per cell]

VASP calculation (PBE) on an optimized crystal structure of Th2SiBRh6.

Output
Uncorrected energy in hartree per atom: -0.2890

Cell: 4.426 4.426 8.724 Å, 90.00 90.00 90.00°
Space group P4/mmm (No. 123)
One atom of each set of equivalent atoms:
Th  0.000  0.000  0.244 [2 per cell]
Si  0.500  0.500  0.500 [1 per cell]
B  0.500  0.500  0.000 [1 per cell]
Rh  0.000  0.500  0.000 [2 per cell]
Rh  0.000  0.500  0.500 [2 per cell]
Rh  0.500  0.500  0.233 [2 per cell]

VASP calculation (PBE) on an optimized crystal structure of Th4SiB3Rh12.

Output
Uncorrected energy in hartree per atom: -0.2943

Cell: 8.680 8.680 8.680 Å, 90.00 90.00 90.00°
Space group Im-3m (No. 229)
One atom of each set of equivalent atoms:
Th  0.250  0.250  0.250 [8 per cell]
Si  0.000  0.000  0.000 [2 per cell]
B  0.000  0.000  0.500 [6 per cell]
Rh  0.000  0.000  0.265 [12 per cell]
Rh  0.000  0.250  0.500 [12 per cell]

Number 1: raw formation energy -598 meV per atom, Fermi-level density of states 9.3 states/eV per cell. Number 2: raw formation energy -148 meV per atom, Fermi-level density of states 18.4 states/eV per cell. Number 3: raw formation energy -266 meV per atom, Fermi-level density of states 40.9 states/eV per cell. Number 4: raw formation energy -842 meV per atom, Fermi-level density of states 6.3 states/eV per cell. Number 5: raw formation energy -759 meV per atom, Fermi-level density of states 5.9 states/eV per cell. Number 6: raw formation energy -842 meV per atom, Fermi-level density of states 11.8 states/eV per cell.